First-principles (PBE) data for an optimized crystal structure of KBeHO2, as listed in the Alexandria database.

Unit cell a=5.7087 b=5.7087 c=4.0275 alpha=90.00 beta=90.00 gamma=132.46
Atoms (fractional coordinates):
K (0.2500, 0.7500, 0.7653)
K (0.7500, 0.2500, 0.2347)
Be (0.2500, 0.2500, 0.5000)
Be (0.7500, 0.7500, 0.5000)
H (0.0000, 0.0000, 0.0000)
H (0.5000, 0.5000, 0.0000)
O (0.0705, 0.9295, 0.2576)
O (0.4295, 0.5705, 0.2576)
O (0.5705, 0.4295, 0.7424)
O (0.9295, 0.0705, 0.7424)

Results
Its symmetry is Cmme, No. 67. The calculation puts the electronic total energy at -5.3676 eV/atom. For the density of states at the Fermi level, the calculation gives 0.0 states/eV/f.u. Its density is 2782 kg/m3. The calculation puts the calculated volume at 96.8 Å³ per cell.

First-principles (PBE) data for an optimized crystal structure of Ho2ThCd, as listed in the Alexandria database.

Unit cell a=11.0288 b=11.0288 c=11.0288 alpha=18.56 beta=18.56 gamma=18.56
Atoms (fractional coordinates):
Ho (0.0000, 0.0000, 0.0000)
Ho (0.1791, 0.1791, 0.1791)
Th (0.4231, 0.4231, 0.4231)
Cd (0.5893, 0.5893, 0.5893)

Results
The formation energy comes out at -0.034 eV per atom. Its symmetry is R3m, No. 160. The calculation puts the electronic total energy at -4.4063 eV/atom. For the density of states at the Fermi level, the calculation gives 7.2 states/eV/f.u. The distance to the lowest polymorph of the same formula is 130 meV/atom. Its density is 9427 kg/m3. The calculation puts the calculated volume at 118.8 Å³ per cell.

First-principles (PBE) data for an optimized crystal structure of BaSr2AcIr, as listed in the Alexandria database.

Unit cell a=6.1179 b=6.1179 c=5.8476 alpha=90.00 beta=90.00 gamma=90.00
Atoms (fractional coordinates):
Ba (0.0000, 0.0000, 0.0000)
Sr (0.0000, 0.5000, 0.5000)
Sr (0.5000, 0.0000, 0.5000)
Ac (0.5000, 0.5000, 0.0000)
Ir (0.5000, 0.5000, 0.5000)

Results
The formation energy comes out at -0.212 eV per atom. Its symmetry is P4/mmm, No. 123. The calculation puts the electronic total energy at -3.8630 eV/atom. For the density of states at the Fermi level, the calculation gives 3.4 states/eV/f.u. Its density is 5552 kg/m3. The calculation puts the calculated volume at 218.9 Å³ per cell.

First-principles (PBE) data for an optimized crystal structure of FeAs4Pt, as listed in the Alexandria database.

Unit cell a=5.3947 b=5.3947 c=5.3947 alpha=60.00 beta=60.00 gamma=60.00
Atoms (fractional coordinates):
Fe (0.0000, 0.0000, 0.0000)
As (0.3739, 0.3739, 0.3739)
As (0.3739, 0.3739, 0.8783)
As (0.3739, 0.8783, 0.3739)
As (0.8783, 0.3739, 0.3739)
Pt (0.7500, 0.7500, 0.7500)

Results
The formation energy comes out at 0.738 eV per atom. Its symmetry is F-43m, No. 216. The calculation puts the electronic total energy at -4.7790 eV/atom. For the density of states at the Fermi level, the calculation gives 5.3 states/eV/f.u. Its density is 8236 kg/m3. The calculation puts the calculated volume at 111.0 Å³ per cell.

First-principles (PBE) data for an optimized crystal structure of BaCo2SiSb, as listed in the Alexandria database.

Unit cell a=4.6397 b=4.6397 c=5.4537 alpha=90.00 beta=90.00 gamma=90.00
Atoms (fractional coordinates):
Ba (0.0000, 0.0000, 0.0000)
Co (0.0000, 0.5000, 0.5000)
Co (0.5000, 0.0000, 0.5000)
Si (0.5000, 0.5000, 0.5000)
Sb (0.5000, 0.5000, 0.0000)

Results
Its symmetry is P4/mmm, No. 123. The calculation puts the electronic total energy at -4.8041 eV/atom. The formation energy from raw total energies is 0.332 eV per atom. For the density of states at the Fermi level, the calculation gives 7.2 states/eV/f.u. Its density is 5729 kg/m3. The calculation puts the calculated volume at 117.4 Å³ per cell.

First-principles (PBE) data for an optimized crystal structure of ScTlTeO4, as listed in the Alexandria database.

Unit cell a=5.8833 b=5.9276 c=7.3761 alpha=90.00 beta=102.50 gamma=90.00
Atoms (fractional coordinates):
Sc (0.1480, 0.2500, 0.4555)
Sc (0.8520, 0.7500, 0.5445)
Tl (0.0923, 0.7500, 0.1298)
Tl (0.9077, 0.2500, 0.8702)
Te (0.4102, 0.7500, 0.7286)
Te (0.5898, 0.2500, 0.2714)
O (0.1607, 0.5164, 0.6492)
O (0.1607, 0.9836, 0.6492)
O (0.2183, 0.2500, 0.1978)
O (0.4774, 0.7500, 0.4884)
O (0.5226, 0.2500, 0.5116)
O (0.7817, 0.7500, 0.8022)
O (0.8393, 0.0164, 0.3508)
O (0.8393, 0.4836, 0.3508)

Results
Its symmetry is P2_1/m, No. 11. The calculation puts the electronic total energy at -6.2836 eV/atom. The formation energy from raw total energies is -1.759 eV per atom. For the density of states at the Fermi level, the calculation gives 0.0 states/eV/f.u. Its density is 5831 kg/m3. The calculation puts the calculated volume at 251.1 Å³ per cell.